Record 1
LuBH | PBE | optimized geometry

abc: 3.764 3.764 6.644
angles: 81.29 81.29 51.04
Sites, in units of the cell vectors:
1 H 0.845 0.845 0.398
2 H 0.155 0.155 0.602
3 B 0.252 0.748 0.000
4 B 0.748 0.252 0.000
5 Lu 0.798 0.798 0.723
6 Lu 0.202 0.202 0.277

Computed properties:
Space-group type: No. 12
Electronic total energy in eV per atom: -5.254
DOS(E_F) in states/eV per cell: 1.6
Density in g cm⁻³: 8.60

***

Record 2
ZrCrPb | PBE | optimized geometry

abc: 5.735 5.734 3.464
angles: 72.43 72.42 35.16
Sites, in units of the cell vectors:
1 Cr 0.001 0.001 0.999
2 Pb 0.345 0.345 0.655
3 Zr 0.654 0.654 0.346

Computed properties:
Space-group type: No. 107
E above lowest polymorph in meV/atom: 0.0
DOS(E_F) in states/eV per cell: 2.1
Energy of formation from the pure elements in eV/atom: 0.26
Density in g cm⁻³: 9.35

***

Record 3
PrPt6 | PBE | optimized geometry

abc: 6.062 6.062 6.062
angles: 90.00 90.00 90.00
Sites, in units of the cell vectors:
1 Pr 0.000 0.000 0.000
2 Pt 0.804 0.500 0.500
3 Pt 0.500 0.500 0.196
4 Pt 0.500 0.500 0.804
5 Pt 0.500 0.804 0.500
6 Pt 0.500 0.196 0.500
7 Pt 0.196 0.500 0.500

Computed properties:
Space-group type: No. 221
E above lowest polymorph in meV/atom: 1412.8
DOS(E_F) in states/eV per cell: 12.9
Energy of formation from the pure elements in eV/atom: 0.92
Density in g cm⁻³: 9.77